A crystal of Ag3GeC relaxed with PBEsol. Source: Alexandria via LeMat-Bulk, functional meta-GGA SCAN.

## Properties
Magnetic moment   1.4 μB/cell
Symmetry   Pm-3m (221)
Formation enthalpy at 0 K   1789 meV per atom

Cell lengths 4.7765, 4.7765, 4.7765 Å; angles 90.00, 90.00, 90.00 degrees
Closest atoms and distances in Å follow each position.
Fractional coordinates of all 5 atoms:
Ge (0.0000, 0.0000, 0.0000)  6 Ag 2.39
C (0.5000, 0.5000, 0.5000)  12 Ag 3.38
Ag (0.0000, 0.5000, 0.0000)  2 Ge 2.39
Ag (0.0000, 0.0000, 0.5000)  2 Ge 2.39
Ag (0.5000, 0.0000, 0.0000)  2 Ge 2.39

=====

A crystal of KFeSi2 relaxed with PBEsol. Source: Alexandria via LeMat-Bulk, functional meta-GGA SCAN.

## Properties
Magnetic moment   1.1 μB/cell
Symmetry   Pm (6)
Polymorph energy (0 for the lowest one)   0.107 eV per atom
ΔE_f (raw)   0.197 eV per atom

Cell lengths 2.7379, 3.6854, 7.3974 Å; angles 90.00, 89.90, 90.00 degrees
Closest atoms and distances in Å follow each position.
Fractional coordinates of all 4 atoms:
Fe (0.3736, 0.0000, 0.3329)  6 Si 2.30-2.31
K (0.3780, 0.5000, 0.7509)  2 K 2.74
Si (0.8748, 0.0000, 0.0812)  2 Fe 2.31
Si (0.8735, 0.5000, 0.3349)  4 Fe 2.30

=====

A crystal of SrInH2 relaxed with PBEsol. Source: Alexandria via LeMat-Bulk, functional meta-GGA SCAN.

## Properties
Magnetic moment   0.0 μB/cell
Symmetry   Fm-3m (225)
Calculated total energy   -62.45 eV per cell

Cell lengths 4.4932, 4.4932, 4.4932 Å; angles 60.00, 60.00, 60.00 degrees
Closest atoms and distances in Å follow each position.
Fractional coordinates of all 4 atoms:
Sr (0.0000, 0.0000, 0.0000)  8 H 2.75
H (0.2500, 0.2500, 0.2500)  4 In 2.75, 4 Sr 2.75
H (0.7500, 0.7500, 0.7500)  4 In 2.75, 4 Sr 2.75
In (0.5000, 0.5000, 0.5000)  8 H 2.75

=====

A crystal of TiPb3F relaxed with PBEsol. Source: Alexandria via LeMat-Bulk, functional meta-GGA SCAN.

## Properties
Magnetic moment   0.0 μB/cell
Symmetry   Pm-3m (221)
ΔE_f (raw)   -0.145 eV per atom

Cell lengths 5.2926, 5.2926, 5.2926 Å; angles 90.00, 90.00, 90.00 degrees
Closest atoms and distances in Å follow each position.
Fractional coordinates of all 5 atoms:
Pb (0.0000, 0.5000, 0.0000)  2 Ti 2.65
Pb (0.0000, 0.0000, 0.5000)  2 Ti 2.65
Pb (0.5000, 0.0000, 0.0000)  2 Ti 2.65
F (0.5000, 0.5000, 0.5000)  12 Pb 3.74
Ti (0.0000, 0.0000, 0.0000)  6 Pb 2.65

=====

A crystal of K3ReMoO8 relaxed with PBEsol. Source: Alexandria via LeMat-Bulk, functional meta-GGA SCAN.

## Properties
Magnetic moment   0.1 μB/cell
Symmetry   R3m (160)
ΔE_f (raw)   -2.144 eV per atom

Cell lengths 6.0380, 6.0380, 7.8609 Å; angles 67.41, 67.41, 60.00 degrees
Closest atoms and distances in Å follow each position.
Fractional coordinates of all 13 atoms:
K (0.3021, 0.3021, 0.0937)  4 O 2.60-2.81
K (0.6945, 0.6945, 0.9166)  4 O 2.69
K (0.5085, 0.5085, 0.4744)  6 O 2.68-2.89
Re (0.0968, 0.0968, 0.7097)  4 O 1.74-1.75
Mo (0.9052, 0.9052, 0.2844)  4 O 1.77
O (0.8216, 0.8216, 0.5353)  1 Mo 1.77
O (0.1791, 0.1791, 0.4628)  1 Re 1.74
O (0.7759, 0.2514, 0.1968)  1 Mo 1.77
O (0.7759, 0.7759, 0.1968)  1 Mo 1.77
O (0.2274, 0.7539, 0.7912)  1 Re 1.75
O (0.2274, 0.2274, 0.7912)  1 Re 1.75
O (0.2514, 0.7759, 0.1968)  1 Mo 1.77
O (0.7539, 0.2274, 0.7912)  1 Re 1.75

=====

A crystal of CrFe2P relaxed with PBEsol. Source: Alexandria via LeMat-Bulk, functional meta-GGA SCAN.

## Properties
Magnetic moment   2.1 μB/cell
Symmetry   Amm2 (38)
Formation enthalpy at 0 K   -34 meV per atom

Cell lengths 2.5435, 3.5933, 4.7383 Å; angles 90.00, 105.57, 90.00 degrees
Closest atoms and distances in Å follow each position.
Fractional coordinates of all 4 atoms:
Cr (0.6977, 0.5000, 0.3953)  7 Fe 2.36-2.55, 4 P 2.41, 2 Cr 2.54
Fe (0.0577, 0.0000, 0.1153)  1 P 2.27, 4 Fe 2.45
Fe (0.4396, 0.5000, 0.8791)  2 P 2.17, 1 Cr 2.36
P (0.3061, 0.0000, 0.6121)  3 Fe 2.17-2.27, 4 Cr 2.41

=====

> What is the formula in the fourth record?

TiPb3F

=====

> Which of these has the highest magnetic moment?

CrFe2P

=====

Repeat the sixth record exactly.
A crystal of CrFe2P relaxed with PBEsol. Source: Alexandria via LeMat-Bulk, functional meta-GGA SCAN.

## Properties
Magnetic moment   2.1 μB/cell
Symmetry   Amm2 (38)
Formation enthalpy at 0 K   -34 meV per atom

Cell lengths 2.5435, 3.5933, 4.7383 Å; angles 90.00, 105.57, 90.00 degrees
Closest atoms and distances in Å follow each position.
Fractional coordinates of all 4 atoms:
Cr (0.6977, 0.5000, 0.3953)  7 Fe 2.36-2.55, 4 P 2.41, 2 Cr 2.54
Fe (0.0577, 0.0000, 0.1153)  1 P 2.27, 4 Fe 2.45
Fe (0.4396, 0.5000, 0.8791)  2 P 2.17, 1 Cr 2.36
P (0.3061, 0.0000, 0.6121)  3 Fe 2.17-2.27, 4 Cr 2.41